The following is a DFT calculation (PBE-GGA) of an optimized crystal structure of FePtW2.

Cell lengths 4.407, 4.407, 4.407 Å; angles 60.00, 60.00, 60.00 degrees
Last column: magnetic moment on the atom in μB.
Sites, in units of the cell vectors:
Fe 0.500 0.500 0.500  2.36
Pt 0.250 0.250 0.250  0.03
W 0.000 0.000 0.000  0.14
W 0.750 0.750 0.750  -0.02

## Properties
* symmetry: F-43m (216)
* formation energy: 0.1940 eV/atom
* offset from the most stable computed form: 0.257 eV/atom